A plane-wave DFT calculation with PBE-GGA was carried out for Ca2LaZr after structural relaxation.

a b c (Å): 5.6503 5.6503 4.1818
angles (deg): 90.00 90.00 90.00
Positions (direct):
Ca 0.0000 0.5000 0.0000
Ca 0.5000 0.0000 0.0000
La 0.0000 0.0000 0.5000
Zr 0.5000 0.5000 0.5000

Properties
Space-group type = P4/mmm, No. 123
Energy of formation = 0.40 eV/atom
DOS(E_F) = 6.37 states/eV/cell
Magnetic moment = 0.0 μB per cell